{"formula": "TaTi2Mo2", "functional": "PBE-GGA", "state": "optimized geometry", "lattice": [[5.2322, 0.0000, 1.9735], [2.6160, 4.3420, 0.9868], [1.2547, 0.0000, 4.5661]], "species": ["Ta", "Ti", "Ti", "Mo", "Mo"], "fractional_positions": [[0.0000, 0.0000, 0.0000], [0.7501, 0.4999, 0.5000], [0.2499, 0.5001, 0.5000], [0.6688, 0.0000, 0.6627], [0.3312, 0.0000, 0.3373]], "space_group": "No. 12", "formation_enthalpy_0k_mev_per_atom": 409, "relative_energy_ev_per_atom": 0.5563}